[1]
A plane-wave DFT calculation with PBE-GGA was carried out for KSb2TeIr after structural relaxation.

a = 5.1048 Å, b = 5.1048 Å, c = 6.1110 Å
α = 90.00°, β = 90.00°, γ = 90.00°
With the nearest neighbours (Å) after each atom.
Fractional positions:
Sb 0.0000 0.5000 0.0000  2 Ir 2.55
Sb 0.5000 0.0000 0.0000  2 Ir 2.55
K 0.5000 0.5000 0.5000  4 Te 3.61, 8 Sb 3.98
Ir 0.0000 0.0000 0.0000  4 Sb 2.55
Te 0.0000 0.0000 0.5000  2 Ir 3.06

## Properties
Distance to the lowest polymorph of the same formula in eV/atom: 0.000
Crystal system: tetragonal
Formation energy without anion corrections in eV per atom: 0.051

[2]
A plane-wave DFT calculation with PBE-GGA was carried out for ZrCr3Ge after structural relaxation.

a = 4.4829 Å, b = 4.4829 Å, c = 4.4829 Å
α = 90.00°, β = 90.00°, γ = 90.00°
With the nearest neighbours (Å) after each atom.
Fractional positions:
Cr 0.0000 0.5000 0.0000  2 Ge 2.24
Cr 0.0000 0.0000 0.5000  2 Ge 2.24
Cr 0.5000 0.0000 0.0000  2 Ge 2.24
Ge 0.0000 0.0000 0.0000  6 Cr 2.24
Zr 0.5000 0.5000 0.5000  12 Cr 3.17

## Properties
Energy relative to the elements in eV per atom: 0.84
Distance to the lowest polymorph of the same formula in eV/atom: 0.000
Crystal system: cubic

[3]
A plane-wave DFT calculation with PBE-GGA was carried out for Ca4Cd5Ag2 after structural relaxation.

a = 3.7447 Å, b = 7.8511 Å, c = 9.9523 Å
α = 93.49°, β = 90.00°, γ = 90.00°
With the nearest neighbours (Å) after each atom.
Fractional positions:
Ca 0.5000 0.7442 0.5579  4 Ag 3.16-3.19, 6 Cd 3.39
Ca 0.5000 0.1710 0.8741  2 Ag 3.08, 8 Cd 3.37-3.42
Ca 0.5000 0.2558 0.4421  4 Ag 3.16-3.19, 6 Cd 3.39
Ca 0.5000 0.8290 0.1259  2 Ag 3.08, 8 Cd 3.37-3.42
Cd 0.0000 0.5604 0.3050  1 Ag 2.98, 2 Cd 3.04-3.14
Cd 0.0000 0.1944 0.1589  1 Ag 2.94, 2 Cd 2.95-3.14
Cd 0.0000 0.5000 0.0000  4 Cd 2.95-3.04
Cd 0.0000 0.8056 0.8411  1 Ag 2.94, 2 Cd 2.95-3.14
Cd 0.0000 0.4396 0.6950  1 Ag 2.98, 2 Cd 3.04-3.14
Ag 0.0000 0.0627 0.6379  1 Ag 2.86, 2 Cd 2.94-2.98, 6 Ca 3.08-3.19
Ag 0.0000 0.9373 0.3621  1 Ag 2.86, 2 Cd 2.94-2.98, 6 Ca 3.08-3.19

## Properties
Energy relative to the elements in eV per atom: -0.29
Crystal system: monoclinic

[4]
A plane-wave DFT calculation with PBE-GGA was carried out for Ca3Pd2Au7 after structural relaxation.

a = 5.5520 Å, b = 5.5520 Å, c = 9.9210 Å
α = 73.75°, β = 73.75°, γ = 60.00°
With the nearest neighbours (Å) after each atom.
Fractional positions:
Ca 0.0000 0.0000 0.0000  6 Pd 3.21
Ca 0.8608 0.8608 0.4177  12 Au 3.20-3.52, 3 Ca 3.56
Ca 0.1392 0.1392 0.5823  12 Au 3.20-3.52, 3 Ca 3.56
Pd 0.6670 0.6670 0.9991  6 Au 2.81-2.84
Pd 0.3330 0.3330 0.0009  6 Au 2.81-2.84
Au 0.5000 0.5000 0.5000  6 Au 2.86
Au 0.9200 0.4158 0.2483  5 Au 2.75-2.86, 2 Pd 2.81-2.84
Au 0.4158 0.9200 0.2483  5 Au 2.75-2.86, 2 Pd 2.81-2.84
Au 0.4158 0.4158 0.2483  5 Au 2.75-2.86, 2 Pd 2.81-2.84
Au 0.0799 0.5842 0.7517  5 Au 2.75-2.86, 2 Pd 2.81-2.84
Au 0.5842 0.5842 0.7517  5 Au 2.75-2.86, 2 Pd 2.81-2.84
Au 0.5842 0.0799 0.7517  5 Au 2.75-2.86, 2 Pd 2.81-2.84

## Properties
Energy relative to the elements in eV per atom: -0.57
Crystal system: trigonal